No. 1
TlZn2Ag: relaxed, GGA-PBEsol.

Lattice parameters (Å, degrees): 3.1008 3.1008 26.4035 90.00 90.00 120.00
Closest atoms and distances in Å follow each position.
Element x y z (fractional)
Tl1 0.0000 0.0000 0.0000  3 Zn 3.02, 3 Ag 3.06, 6 Tl 3.10
Tl2 0.3333 0.6667 0.6667  3 Zn 3.02, 3 Ag 3.06, 6 Tl 3.10
Tl3 0.6667 0.3333 0.3333  3 Zn 3.02, 3 Ag 3.06, 6 Tl 3.10
Zn1 0.0000 0.0000 0.2412  3 Zn 2.60
Zn2 0.0000 0.0000 0.5030  3 Zn 2.60, 3 Ag 2.68
Zn3 0.3333 0.6667 0.1697  3 Zn 2.60, 3 Ag 2.68
Zn4 0.3333 0.6667 0.9078  3 Zn 2.60
Zn5 0.6667 0.3333 0.5745  3 Zn 2.60
Zn6 0.6667 0.3333 0.8364  3 Zn 2.60, 3 Ag 2.68
Ag1 0.0000 0.0000 0.7609  3 Zn 2.68
Ag2 0.3333 0.6667 0.4276  3 Zn 2.68
Ag3 0.6667 0.3333 0.0942  3 Zn 2.68

Calculated values
Total DFT energy (no corrections) in eV/atom: -2.127
Size of the total moment in μB per atom: 0.0000
Space group: R3m (160)

No. 2
Zr2TlAg: relaxed, GGA-PBEsol.

Lattice parameters (Å, degrees): 10.8001 3.2610 5.1017 90.00 113.32 90.00
Closest atoms and distances in Å follow each position.
Element x y z (fractional)
Zr1 0.0000 0.0000 0.0000  4 Ag 3.00-3.05, 5 Zr 3.02-3.26, 3 Tl 3.16-3.28
Zr2 0.2451 0.0000 0.8309  2 Ag 2.98, 5 Zr 3.02-3.26, 4 Tl 3.02-3.04
Zr3 0.5000 0.5000 0.0000  4 Ag 3.00-3.05, 5 Zr 3.02-3.26, 3 Tl 3.16-3.28
Zr4 0.7451 0.5000 0.8309  2 Ag 2.98, 5 Zr 3.02-3.26, 4 Tl 3.02-3.04
Tl1 0.2649 0.5000 0.3496  3 Ag 2.88-3.20, 6 Zr 3.02-3.16
Tl2 0.7649 0.0000 0.3496  3 Ag 2.88-3.20, 6 Zr 3.02-3.16
Ag1 0.0033 0.5000 0.4967  3 Tl 2.88-3.20, 6 Zr 2.98-3.05
Ag2 0.5033 0.0000 0.4967  3 Tl 2.88-3.20, 6 Zr 2.98-3.05

Calculated values
Total DFT energy (no corrections) in eV/atom: -6.103
Size of the total moment in μB per atom: 0.0000
Space group: Cm (8)

No. 3
Zr2TlAg: relaxed, GGA-PBEsol.

Lattice parameters (Å, degrees): 4.3573 4.3573 8.5443 90.00 90.00 90.00
Closest atoms and distances in Å follow each position.
Element x y z (fractional)
Zr1 0.0000 0.5000 0.2500  4 Tl 3.05, 4 Ag 3.05, 4 Zr 3.08
Zr2 0.0000 0.5000 0.7500  4 Tl 3.05, 4 Ag 3.05, 4 Zr 3.08
Zr3 0.5000 0.0000 0.2500  4 Tl 3.05, 4 Ag 3.05, 4 Zr 3.08
Zr4 0.5000 0.0000 0.7500  4 Tl 3.05, 4 Ag 3.05, 4 Zr 3.08
Tl1 0.0000 0.0000 0.0000  8 Zr 3.05, 4 Ag 3.08
Tl2 0.5000 0.5000 0.5000  8 Zr 3.05, 4 Ag 3.08
Ag1 0.0000 0.0000 0.5000  8 Zr 3.05, 4 Tl 3.08
Ag2 0.5000 0.5000 0.0000  8 Zr 3.05, 4 Tl 3.08

Calculated values
Total DFT energy (no corrections) in eV/atom: -6.160
Size of the total moment in μB per atom: 0.0002
Space group: I4/mmm (139)

No. 4
ZrTlAg2: relaxed, GGA-PBEsol.

Lattice parameters (Å, degrees): 4.7728 4.7728 6.7348 90.00 90.00 90.00
Closest atoms and distances in Å follow each position.
Element x y z (fractional)
Zr1 0.0000 0.0000 0.0000  4 Tl 2.92, 4 Ag 2.92
Zr2 0.5000 0.5000 0.5000  4 Tl 2.92, 4 Ag 2.92
Tl1 0.0000 0.5000 0.7500  4 Zr 2.92, 4 Ag 2.92
Tl2 0.5000 0.0000 0.2500  4 Zr 2.92, 4 Ag 2.92
Ag1 0.0000 0.0000 0.5000  4 Tl 2.92, 4 Ag 2.92
Ag2 0.0000 0.5000 0.2500  4 Zr 2.92, 4 Ag 2.92
Ag3 0.5000 0.0000 0.7500  4 Zr 2.92, 4 Ag 2.92
Ag4 0.5000 0.5000 0.0000  4 Tl 2.92, 4 Ag 2.92

Calculated values
Total DFT energy (no corrections) in eV/atom: -4.603
Size of the total moment in μB per atom: 0.0000
Space group: I-4m2 (119)

No. 5
Zr2TlAg: relaxed, GGA-PBEsol.

Lattice parameters (Å, degrees): 6.0306 8.5121 3.1694 90.00 90.00 90.00
Closest atoms and distances in Å follow each position.
Element x y z (fractional)
Zr1 0.2500 0.2500 0.0000  4 Zr 3.02-3.17, 4 Tl 3.05, 4 Ag 3.05
Zr2 0.2500 0.7500 0.0000  4 Zr 3.02-3.17, 4 Tl 3.05, 4 Ag 3.05
Zr3 0.7500 0.2500 0.0000  4 Zr 3.02-3.17, 4 Tl 3.05, 4 Ag 3.05
Zr4 0.7500 0.7500 0.0000  4 Zr 3.02-3.17, 4 Ag 3.05, 4 Tl 3.05
Tl1 0.0000 0.0000 0.5000  2 Ag 3.02, 8 Zr 3.05, 2 Tl 3.17
Tl2 0.5000 0.5000 0.5000  2 Ag 3.02, 8 Zr 3.05, 2 Tl 3.17
Ag1 0.0000 0.5000 0.5000  2 Tl 3.02, 8 Zr 3.05, 2 Ag 3.17
Ag2 0.5000 0.0000 0.5000  2 Tl 3.02, 8 Zr 3.05, 2 Ag 3.17

Calculated values
Total DFT energy (no corrections) in eV/atom: -6.149
Size of the total moment in μB per atom: 0.0001
Space group: Cmmm (65)

No. 6
Zr2TlAg: relaxed, GGA-PBEsol.

Lattice parameters (Å, degrees): 3.1953 4.2380 6.0046 90.00 90.00 90.00
Closest atoms and distances in Å follow each position.
Element x y z (fractional)
Zr1 0.0000 0.0000 0.2436  4 Zr 2.93-3.20, 4 Ag 3.03, 4 Tl 3.07
Zr2 0.0000 0.0000 0.7564  4 Zr 2.93-3.20, 4 Ag 3.03, 4 Tl 3.07
Tl1 0.5000 0.5000 0.5000  2 Ag 3.00, 8 Zr 3.07, 2 Tl 3.20
Ag1 0.5000 0.5000 0.0000  2 Tl 3.00, 8 Zr 3.03, 2 Ag 3.20

Calculated values
Total DFT energy (no corrections) in eV/atom: -6.142
Size of the total moment in μB per atom: 0.0001
Space group: Pmmm (47)

No. 7
Zr2TlAg: relaxed, GGA-PBEsol.

Lattice parameters (Å, degrees): 3.1343 5.0076 5.2103 90.00 90.00 90.00
Closest atoms and distances in Å follow each position.
Element x y z (fractional)
Zr1 0.0000 0.0000 0.0000  4 Ag 3.00-3.08, 4 Tl 3.03, 4 Zr 3.13-3.18
Zr2 0.0000 0.5000 0.3763  4 Tl 3.01-3.07, 4 Ag 3.03, 4 Zr 3.13-3.18
Tl1 0.5000 0.5000 0.8705  8 Zr 3.01-3.07, 2 Tl 3.13, 2 Ag 3.13
Ag1 0.5000 0.0000 0.5084  8 Zr 3.00-3.08, 2 Ag 3.13, 2 Tl 3.13

Calculated values
Total DFT energy (no corrections) in eV/atom: -6.111
Size of the total moment in μB per atom: 0.0000
Space group: Pmm2 (25)

No. 8
Zr2TlAg: relaxed, GGA-PBEsol.

Lattice parameters (Å, degrees): 3.1603 3.1603 8.4522 90.00 90.00 90.00
Closest atoms and distances in Å follow each position.
Element x y z (fractional)
Zr1 0.0000 0.0000 0.0000  8 Zr 3.14-3.16, 4 Tl 3.19
Zr2 0.5000 0.5000 0.2611  4 Ag 2.99, 8 Zr 3.14-3.16
Tl1 0.5000 0.5000 0.7308  4 Ag 2.99, 4 Tl 3.16, 4 Zr 3.19
Ag1 0.0000 0.0000 0.4955  4 Zr 2.99, 4 Tl 2.99, 4 Ag 3.16

Calculated values
Total DFT energy (no corrections) in eV/atom: -6.073
Size of the total moment in μB per atom: 0.0002
Space group: P4mm (99)

No. 9
Zr2TlAg: relaxed, GGA-PBEsol.

Lattice parameters (Å, degrees): 4.3375 4.3375 4.3058 90.00 90.00 90.00
Closest atoms and distances in Å follow each position.
Element x y z (fractional)
Zr1 0.0000 0.5000 0.0000  4 Ag 3.06, 4 Tl 3.06, 4 Zr 3.07
Zr2 0.5000 0.0000 0.0000  4 Ag 3.06, 4 Tl 3.06, 4 Zr 3.07
Tl1 0.0000 0.0000 0.5000  8 Zr 3.06, 4 Ag 3.07
Ag1 0.5000 0.5000 0.5000  8 Zr 3.06, 4 Tl 3.07

Calculated values
Total DFT energy (no corrections) in eV/atom: -6.163
Size of the total moment in μB per atom: 0.0001
Space group: P4/mmm (123)

No. 10
ZrTlAg2: relaxed, GGA-PBEsol.

Lattice parameters (Å, degrees): 3.2393 3.2393 7.3973 90.00 90.00 90.00
Closest atoms and distances in Å follow each position.
Element x y z (fractional)
Zr1 0.0000 0.0000 0.0000  4 Ag 2.93, 4 Tl 3.09, 4 Zr 3.24
Tl1 0.5000 0.5000 0.7198  4 Ag 2.97, 4 Zr 3.09, 4 Tl 3.24
Ag1 0.0000 0.0000 0.4652  4 Ag 2.80, 4 Tl 2.97
Ag2 0.5000 0.5000 0.2466  4 Ag 2.80, 4 Zr 2.93

Calculated values
Total DFT energy (no corrections) in eV/atom: -4.578
Size of the total moment in μB per atom: 0.0000
Space group: P4mm (99)

No. 11
ZrTlAg: relaxed, GGA-PBEsol.

Lattice parameters (Å, degrees): 4.7273 4.7273 3.1344 90.00 90.00 120.00
Closest atoms and distances in Å follow each position.
Element x y z (fractional)
Zr1 0.0000 0.0000 0.0000  2 Zr 3.13, 6 Tl 3.15, 6 Ag 3.15
Tl1 0.3333 0.6667 0.5000  3 Ag 2.73
Ag1 0.6667 0.3333 0.5000  3 Tl 2.73

Calculated values
Total DFT energy (no corrections) in eV/atom: -5.077
Size of the total moment in μB per atom: 0.0000
Space group: P-6m2 (187)

No. 12
TmAg2: relaxed, GGA-PBEsol.

Lattice parameters (Å, degrees): 3.6235 3.6235 8.9961 90.00 90.00 90.00
Closest atoms and distances in Å follow each position.
Element x y z (fractional)
Tm1 0.0000 0.0000 0.0000  10 Ag 2.97-2.98
Tm2 0.5000 0.5000 0.5000  10 Ag 2.97-2.98
Ag1 0.0000 0.0000 0.3305  5 Ag 2.94-3.05, 5 Tm 2.97-2.98
Ag2 0.0000 0.0000 0.6695  5 Ag 2.94-3.05, 5 Tm 2.97-2.98
Ag3 0.5000 0.5000 0.1695  5 Ag 2.94-3.05, 5 Tm 2.97-2.98
Ag4 0.5000 0.5000 0.8305  5 Ag 2.94-3.05, 5 Tm 2.97-2.98

Calculated values
Total DFT energy (no corrections) in eV/atom: -4.200
Size of the total moment in μB per atom: 0.0000
Space group: I4/mmm (139)

No. 13
Tm2ZnAg: relaxed, GGA-PBEsol.

Lattice parameters (Å, degrees): 6.9841 6.9841 6.9841 90.00 90.00 90.00
Closest atoms and distances in Å follow each position.
Element x y z (fractional)
Tm1 0.2500 0.2500 0.2500  4 Zn 3.02, 4 Ag 3.02
Tm2 0.2500 0.2500 0.7500  4 Zn 3.02, 4 Ag 3.02
Tm3 0.2500 0.7500 0.2500  4 Zn 3.02, 4 Ag 3.02
Tm4 0.2500 0.7500 0.7500  4 Zn 3.02, 4 Ag 3.02
Tm5 0.7500 0.2500 0.2500  4 Zn 3.02, 4 Ag 3.02
Tm6 0.7500 0.2500 0.7500  4 Zn 3.02, 4 Ag 3.02
Tm7 0.7500 0.7500 0.2500  4 Zn 3.02, 4 Ag 3.02
Tm8 0.7500 0.7500 0.7500  4 Zn 3.02, 4 Ag 3.02
Zn1 0.0000 0.0000 0.0000  8 Tm 3.02
Zn2 0.0000 0.5000 0.5000  8 Tm 3.02
Zn3 0.5000 0.0000 0.5000  8 Tm 3.02
Zn4 0.5000 0.5000 0.0000  8 Tm 3.02
Ag1 0.0000 0.0000 0.5000  8 Tm 3.02
Ag2 0.0000 0.5000 0.0000  8 Tm 3.02
Ag3 0.5000 0.0000 0.0000  8 Tm 3.02
Ag4 0.5000 0.5000 0.5000  8 Tm 3.02

Calculated values
Total DFT energy (no corrections) in eV/atom: -4.019
Size of the total moment in μB per atom: 0.0001
Space group: Fm-3m (225)

No. 14
AgW3: relaxed, GGA-PBEsol.

Lattice parameters (Å, degrees): 2.7542 2.7542 9.7601 90.00 90.00 120.00
Closest atoms and distances in Å follow each position.
Element x y z (fractional)
Ag1 0.0000 0.0000 0.0000  6 Ag 2.75, 6 W 2.92
W1 0.0000 0.0000 0.5000  12 W 2.75-2.90
W2 0.6667 0.3333 0.2512  9 W 2.75-2.90, 3 Ag 2.92
W3 0.6667 0.3333 0.7488  9 W 2.75-2.90, 3 Ag 2.92

Calculated values
Total DFT energy (no corrections) in eV/atom: -10.651
Size of the total moment in μB per atom: 0.0001
Space group: P-6m2 (187)

No. 15
AgW3: relaxed, GGA-PBEsol.

Lattice parameters (Å, degrees): 2.6337 4.3044 5.6020 90.00 90.00 90.00
Closest atoms and distances in Å follow each position.
Element x y z (fractional)
Ag1 0.0000 0.0000 0.0000  2 Ag 2.63, 10 W 2.80-2.89
W1 0.0000 0.0000 0.5000  10 W 2.63-2.88, 2 Ag 2.80
W2 0.5000 0.5000 0.2524  8 W 2.63-2.88, 4 Ag 2.89
W3 0.5000 0.5000 0.7476  8 W 2.63-2.88, 4 Ag 2.89

Calculated values
Total DFT energy (no corrections) in eV/atom: -10.659
Size of the total moment in μB per atom: 0.0001
Space group: Pmmm (47)

No. 16
Ag2W: relaxed, GGA-PBEsol.

Lattice parameters (Å, degrees): 4.5776 4.5776 2.6464 90.00 90.00 120.00
Closest atoms and distances in Å follow each position.
Element x y z (fractional)
Ag1 0.3333 0.6667 0.0000  5 Ag 2.64-2.65, 6 W 2.96
Ag2 0.6667 0.3333 0.0000  5 Ag 2.64-2.65, 6 W 2.96
W1 0.0000 0.0000 0.5000  2 W 2.65, 12 Ag 2.96

Calculated values
Total DFT energy (no corrections) in eV/atom: -6.067
Size of the total moment in μB per atom: 0.0039
Space group: P6/mmm (191)

No. 17
AgW3: relaxed, GGA-PBEsol.

Lattice parameters (Å, degrees): 5.5784 8.5213 2.6617 90.00 90.00 90.00
Closest atoms and distances in Å follow each position.
Element x y z (fractional)
Ag1 0.0000 0.0000 0.0000  2 Ag 2.66, 10 W 2.79-2.87
Ag2 0.5000 0.5000 0.0000  2 Ag 2.66, 10 W 2.79-2.87
W1 0.0000 0.5000 0.0000  10 W 2.66-2.87, 2 Ag 2.79
W2 0.2500 0.2500 0.5000  8 W 2.66-2.87, 4 Ag 2.87
W3 0.2500 0.7500 0.5000  8 W 2.66-2.87, 4 Ag 2.87
W4 0.5000 0.0000 0.0000  10 W 2.66-2.87, 2 Ag 2.79
W5 0.7500 0.2500 0.5000  8 W 2.66-2.87, 4 Ag 2.87
W6 0.7500 0.7500 0.5000  8 W 2.66-2.87, 4 Ag 2.87

Calculated values
Total DFT energy (no corrections) in eV/atom: -10.662
Size of the total moment in μB per atom: 0.0001
Space group: Cmmm (65)

No. 18
AgW3: relaxed, GGA-PBEsol.

Lattice parameters (Å, degrees): 3.9675 3.9675 3.9675 90.00 90.00 90.00
Closest atoms and distances in Å follow each position.
Element x y z (fractional)
Ag1 0.0000 0.0000 0.0000  12 W 2.81
W1 0.0000 0.5000 0.5000  8 W 2.81, 4 Ag 2.81
W2 0.5000 0.0000 0.5000  8 W 2.81, 4 Ag 2.81
W3 0.5000 0.5000 0.0000  8 W 2.81, 4 Ag 2.81

Calculated values
Total DFT energy (no corrections) in eV/atom: -10.679
Size of the total moment in μB per atom: 0.0001
Space group: Pm-3m (221)

No. 19
Ag2W: relaxed, GGA-PBEsol.

Lattice parameters (Å, degrees): 6.6324 6.6324 4.8180 90.00 90.00 90.00
Closest atoms and distances in Å follow each position.
Element x y z (fractional)
Ag1 0.1484 0.3516 0.0000  7 Ag 2.78-3.11, 4 W 2.80
Ag2 0.1484 0.6484 0.5000  7 Ag 2.78-3.11, 4 W 2.80
Ag3 0.3516 0.1484 0.5000  7 Ag 2.78-3.11, 4 W 2.80
Ag4 0.3516 0.8516 0.0000  7 Ag 2.78-3.11, 4 W 2.80
Ag5 0.6484 0.1484 0.0000  7 Ag 2.78-3.11, 4 W 2.80
Ag6 0.6484 0.8516 0.5000  7 Ag 2.78-3.11, 4 W 2.80
Ag7 0.8516 0.3516 0.5000  7 Ag 2.78-3.11, 4 W 2.80
Ag8 0.8516 0.6484 0.0000  7 Ag 2.78-3.11, 4 W 2.80
W1 0.0000 0.0000 0.2500  2 W 2.41
W2 0.0000 0.0000 0.7500  2 W 2.41
W3 0.5000 0.5000 0.2500  2 W 2.41
W4 0.5000 0.5000 0.7500  2 W 2.41

Calculated values
Total DFT energy (no corrections) in eV/atom: -5.943
Size of the total moment in μB per atom: 0.0001
Space group: I4/mcm (140)

No. 20
YAgW2: relaxed, GGA-PBEsol.

Lattice parameters (Å, degrees): 3.9096 3.9096 4.7781 90.00 90.00 90.00
Closest atoms and distances in Å follow each position.
Element x y z (fractional)
Y1 0.0000 0.0000 0.0000  4 Ag 2.76, 8 W 3.09
Ag1 0.5000 0.5000 0.0000  4 Y 2.76, 8 W 3.09
W1 0.0000 0.5000 0.5000  4 W 2.76, 4 Y 3.09, 4 Ag 3.09
W2 0.5000 0.0000 0.5000  4 W 2.76, 4 Y 3.09, 4 Ag 3.09

Calculated values
Total DFT energy (no corrections) in eV/atom: -8.862
Size of the total moment in μB per atom: 0.0001
Space group: P4/mmm (123)